(1)
The following is a GGA-PBEsol calculation of a relaxed TcI2F crystal, from Alexandria.

## Properties
Energy   -33.6 eV per cell
Formation energy without anion corrections   -16 meV per atom
Calculated density   6.09 g/cm³
Space-group type   I-42d (122)

a = 6.6863 Å, b = 6.5429 Å, c = 6.6863 Å
α = 59.27°, β = 90.00°, γ = 120.73°
Positions (direct):
1 I 0.1023 0.7500 0.8750
2 I 0.6477 0.7500 0.3750
3 I 0.3750 0.2500 0.1023
4 I 0.8750 0.2500 0.6477
5 Tc 0.7500 0.5000 0.7500
6 Tc 0.0000 0.0000 0.0000
7 F 0.2500 0.5000 0.2500
8 F 0.5000 0.0000 0.5000

(2)
The following is a GGA-PBEsol calculation of a relaxed TiTeI2F crystal, from Alexandria.

## Properties
Energy   -19.2 eV per cell
Formation energy without anion corrections   -375 meV per atom
Calculated density   5.10 g/cm³
Space-group type   P4/mmm (123)

a = 5.2043 Å, b = 5.2954 Å, c = 5.2954 Å
α = 90.00°, β = 90.00°, γ = 90.00°
Last column: magnetic moment on the atom in μB.
Positions (direct):
1 I 0.0000 0.0000 0.5000  0.01
2 I 0.0000 0.5000 0.0000  0.01
3 F 0.5000 0.5000 0.5000  0.12
4 Te 0.5000 0.0000 0.0000  0.06
5 Ti 0.0000 0.0000 0.0000  -0.04

(3)
The following is a GGA-PBEsol calculation of a relaxed ZnTeI2F crystal, from Alexandria.

## Properties
Energy   -10.5 eV per cell
Formation energy without anion corrections   18 meV per atom
Calculated density   5.55 g/cm³
Space-group type   P4/mmm (123)

a = 4.1834 Å, b = 5.7739 Å, c = 5.7739 Å
α = 90.00°, β = 90.00°, γ = 90.00°
Positions (direct):
1 I 0.0000 0.0000 0.5000
2 I 0.0000 0.5000 0.0000
3 Zn 0.5000 0.5000 0.5000
4 Te 0.5000 0.0000 0.0000
5 F 0.0000 0.0000 0.0000

(4)
The following is a GGA-PBEsol calculation of a relaxed ZrTe2IF crystal, from Alexandria.

## Properties
Energy   -21.5 eV per cell
Formation energy without anion corrections   -332 meV per atom
Calculated density   4.92 g/cm³
Space-group type   P4/mmm (123)

a = 5.4716 Å, b = 5.4716 Å, c = 5.5555 Å
α = 90.00°, β = 90.00°, γ = 90.00°
Last column: magnetic moment on the atom in μB.
Positions (direct):
1 I 0.0000 0.0000 0.5000  0.03
2 Te 0.0000 0.5000 0.0000  0.07
3 Te 0.5000 0.0000 0.0000  0.07
4 Zr 0.0000 0.0000 0.0000  -0.01
5 F 0.5000 0.5000 0.5000  0.25

(5)
The following is a GGA-PBEsol calculation of a relaxed Ti3IF crystal, from Alexandria.

## Properties
Energy   -23.5 eV per cell
Formation energy without anion corrections   1042 meV per atom
Calculated density   3.83 g/cm³
Space-group type   Pm-3m (221)

a = 5.0053 Å, b = 5.0053 Å, c = 5.0053 Å
α = 90.00°, β = 90.00°, γ = 90.00°
Last column: magnetic moment on the atom in μB.
Positions (direct):
1 I 0.0000 0.0000 0.0000  0.01
2 F 0.5000 0.5000 0.5000  0.11
3 Ti 0.0000 0.5000 0.0000  1.04
4 Ti 0.0000 0.0000 0.5000  1.04
5 Ti 0.5000 0.0000 0.0000  1.04

(6)
The following is a GGA-PBEsol calculation of a relaxed TiIF3 crystal, from Alexandria.

## Properties
Energy   -26.2 eV per cell
Formation energy without anion corrections   -2057 meV per atom
Calculated density   5.34 g/cm³
Space-group type   Pm-3m (221)

a = 4.1614 Å, b = 4.1614 Å, c = 4.1614 Å
α = 90.00°, β = 90.00°, γ = 90.00°
Last column: magnetic moment on the atom in μB.
Positions (direct):
1 I 0.5000 0.5000 0.5000  -0.56
2 F 0.0000 0.5000 0.0000  -0.06
3 F 0.0000 0.0000 0.5000  -0.06
4 F 0.5000 0.0000 0.0000  -0.06
5 Ti 0.0000 0.0000 0.0000  0.90